## MgCd2Pt (GGA-PBE)

Data for an optimized crystal structure of MgCd2Pt.

```
MgCd2Pt
1.0
3.087 0.011 0.000
-0.010 3.087 0.000
0.000 0.000 8.232
Cd Mg Pt
2 1 1
direct
0.000 0.000 0.977
0.000 0.000 0.523
0.500 0.500 0.250
0.500 0.500 0.750
```

## Properties
For the electronic total energy, the calculation gives -2.54 eV/atom. The calculation puts the energy of formation from the pure elements at -0.1764 eV/atom.

=====

## LaEr2Al2Ga2 (GGA-PBE)

Data for an optimized crystal structure of LaEr2Al2Ga2.

```
LaEr2Al2Ga2
1.0
-2.859 1.075 -3.201
0.732 -1.327 -4.158
-5.821 -8.428 -0.690
La Er Al Ga
1 2 2 2
direct
0.000 0.000 0.000
0.131 0.131 0.608
0.869 0.869 0.392
0.599 0.599 0.203
0.401 0.401 0.797
0.749 0.749 0.752
0.251 0.251 0.248
```

## Properties
For the electronic total energy, the calculation gives -4.34 eV/atom. The calculation puts the energy of formation from the pure elements at -0.4002 eV/atom.

=====

## K2InP2S6 (GGA-PBE)

Data for an optimized crystal structure of K2InP2S6.

```
K2InP2S6
1.0
-2.370 6.322 0.481
0.222 -3.082 -6.022
-6.692 -2.590 1.079
K In P S
2 1 2 6
direct
0.667 0.333 0.640
0.333 0.667 0.360
0.000 0.000 0.000
0.333 0.667 0.877
0.667 0.333 0.123
0.134 0.344 0.759
0.656 0.790 0.759
0.210 0.866 0.759
0.866 0.656 0.241
0.344 0.210 0.241
0.790 0.134 0.241
```

## Properties
For the electronic total energy, the calculation gives -4.27 eV/atom. For the raw formation energy, the calculation gives -0.590 eV/atom.

=====

## K2HgS8 (GGA-PBE)

Data for an optimized crystal structure of K2HgS8.

```
K2HgS8
1.0
-1.104 -5.055 -1.459
5.224 -1.366 -0.316
10.914 -13.622 9.225
K Hg S
2 1 8
direct
0.527 0.344 0.363
0.473 0.656 0.637
0.000 0.000 0.000
0.947 0.518 0.417
0.999 0.919 0.401
0.053 0.482 0.583
0.492 0.640 0.928
0.001 0.081 0.599
0.489 0.119 0.874
0.511 0.881 0.126
0.508 0.360 0.072
```

## Properties
For the electronic total energy, the calculation gives -3.50 eV/atom. For the raw formation energy, the calculation gives -0.271 eV/atom.

=====

## CoOs3I (GGA-PBE)

Data for an optimized crystal structure of CoOs3I.

```
CoOs3I
1.0
-1.378 2.420 -3.546
-0.457 -3.785 -2.406
-4.268 -0.376 1.402
I Co Os
1 1 3
direct
0.500 0.500 0.500
0.000 0.000 0.000
0.000 0.500 0.000
0.000 0.000 0.500
0.500 0.000 0.000
```

## Properties
For the electronic total energy, the calculation gives -6.33 eV/atom. For the raw formation energy, the calculation gives 2.135 eV/atom.

=====

## Ac2ThHg (GGA-PBE)

Data for an optimized crystal structure of Ac2ThHg.

```
Ac2ThHg
1.0
-1.452 2.246 -2.548
1.062 -0.277 -3.527
-9.293 -7.660 -4.133
Ac Hg Th
2 1 1
direct
0.095 0.095 0.715
0.905 0.905 0.285
0.500 0.500 0.500
0.000 0.000 0.000
```

## Properties
For the electronic total energy, the calculation gives -3.81 eV/atom. The calculation puts the energy of formation from the pure elements at 0.1772 eV/atom.

=====

## Ti4Sn2Au (GGA-PBE)

Data for an optimized crystal structure of Ti4Sn2Au.

```
Ti4Sn2Au
1.0
-0.916 2.629 1.234
-2.906 -3.726 5.781
5.253 0.302 3.256
Ti Sn Au
4 2 1
direct
0.500 0.964 0.729
0.000 0.438 0.216
0.500 0.179 0.414
0.000 0.705 0.927
0.500 0.383 0.781
0.500 0.760 0.362
0.000 0.071 0.071
```

## Properties
For the electronic total energy, the calculation gives -6.05 eV/atom. The calculation puts the energy of formation from the pure elements at 0.0750 eV/atom.

=====

## Mg4Ga5Pt (GGA-PBE)

Data for an optimized crystal structure of Mg4Ga5Pt.

```
Mg4Ga5Pt
1.0
-2.245 1.121 5.813
1.015 -4.402 4.689
3.749 3.155 4.288
Mg Ga Pt
4 5 1
direct
0.881 0.642 0.744
0.625 0.256 0.642
0.523 0.744 0.358
0.267 0.358 0.256
0.255 0.705 0.849
0.105 0.151 0.705
0.961 0.849 0.295
0.810 0.295 0.151
0.334 0.000 0.000
0.729 0.000 0.000
```

## Properties
For the electronic total energy, the calculation gives -2.99 eV/atom. The calculation puts the energy of formation from the pure elements at -0.2369 eV/atom.